VASP calculation (GGA-PBE) on a relaxed BaGeHAu2 crystal.

Summary:
Offset from the most stable computed form = 0.000 eV per atom
Space group = No. 123
Magnetization = 0.000 Bohr magnetons per cell
Volume = 115.5 Å³/cell
VASP energy = -3.555 eV per atom
Crystal system = tetragonal
N(E_F) = 0.59 states/eV/f.u.

Cell: 5.227 5.227 4.225 Å, 90.00 90.00 90.00°
Sites, in units of the cell vectors:
H  0.000  0.000  0.500
Ge  0.000  0.000  0.000
Au  0.000  0.500  0.000
Au  0.500  0.000  0.000
Ba  0.500  0.500  0.500

VASP calculation (GGA-PBE) on a relaxed Ba3Hg2Ge2Au4 crystal.

Summary:
Space group = No. 139
Magnetization = 0.000 Bohr magnetons per cell
ΔH_f (0 K) = -0.45 eV/atom
Volume = 345.8 Å³/cell
VASP energy = -3.063 eV per atom
Crystal system = tetragonal
N(E_F) = 6.62 states/eV/f.u.

Cell: 4.912 4.912 14.747 Å, 99.59 99.59 90.00°
Sites, in units of the cell vectors:
Ba  0.000  0.000  0.000
Ba  0.165  0.165  0.329
Ba  0.835  0.835  0.671
Hg  0.283  0.283  0.566
Hg  0.717  0.717  0.434
Ge  0.391  0.391  0.782
Ge  0.609  0.609  0.218
Au  0.418  0.918  0.835
Au  0.918  0.418  0.835
Au  0.082  0.582  0.165
Au  0.582  0.082  0.165

VASP calculation (GGA-PBE) on a relaxed Ba2HgGe3Au12 crystal.

Summary:
Space group = No. 166
Magnetization = 0.000 Bohr magnetons per cell
ΔH_f (0 K) = -0.06 eV/atom
Volume = 494.8 Å³/cell
VASP energy = -3.244 eV per atom
Crystal system = trigonal
N(E_F) = 4.79 states/eV/f.u.

Cell: 8.753 8.753 8.753 Å, 61.95 61.95 61.95°
Sites, in units of the cell vectors:
Ba  0.609  0.609  0.609
Ba  0.391  0.391  0.391
Hg  0.000  0.000  0.000
Ge  0.500  0.000  0.000
Ge  0.000  0.500  0.000
Ge  0.000  0.000  0.500
Au  0.338  0.338  0.990
Au  0.871  0.871  0.368
Au  0.368  0.871  0.871
Au  0.990  0.338  0.338
Au  0.871  0.368  0.871
Au  0.338  0.990  0.338
Au  0.662  0.662  0.010
Au  0.129  0.129  0.632
Au  0.632  0.129  0.129
Au  0.010  0.662  0.662
Au  0.129  0.632  0.129
Au  0.662  0.010  0.662

VASP calculation (GGA-PBE) on a relaxed BaHg2GeAu crystal.

Summary:
Space group = No. 123
Magnetization = 0.000 Bohr magnetons per cell
ΔH_f (0 K) = -0.22 eV/atom
Volume = 151.7 Å³/cell
VASP energy = -2.304 eV per atom
Crystal system = tetragonal
N(E_F) = 4.16 states/eV/f.u.

Cell: 5.483 5.483 5.046 Å, 90.00 90.00 90.00°
Sites, in units of the cell vectors:
Ge  0.000  0.000  0.000
Au  0.000  0.000  0.500
Hg  0.000  0.500  0.000
Hg  0.500  0.000  0.000
Ba  0.500  0.500  0.500

VASP calculation (GGA-PBE) on a relaxed Ba2HgGeAu6 crystal.

Summary:
Space group = No. 12
Magnetization = 0.000 Bohr magnetons per cell
ΔH_f (0 K) = -0.34 eV/atom
Volume = 280.9 Å³/cell
VASP energy = -3.186 eV per atom
Crystal system = monoclinic
N(E_F) = 2.96 states/eV/f.u.

Cell: 7.348 7.349 7.492 Å, 59.39 59.38 89.91°
Sites, in units of the cell vectors:
Ba  0.750  0.250  0.499
Ba  0.250  0.750  0.500
Hg  0.000  0.000  0.000
Ge  0.500  0.500  0.000
Au  0.261  0.261  0.481
Au  0.741  0.740  0.000
Au  0.259  0.740  0.000
Au  0.741  0.260  0.000
Au  0.259  0.260  0.000
Au  0.739  0.739  0.519

VASP calculation (GGA-PBE) on a relaxed Ba2Hg2GeAu4 crystal.

Summary:
Space group = No. 139
Magnetization = 0.000 Bohr magnetons per cell
ΔH_f (0 K) = -0.43 eV/atom
Volume = 244.1 Å³/cell
VASP energy = -2.898 eV per atom
Crystal system = tetragonal
N(E_F) = 3.99 states/eV/f.u.

Cell: 6.949 6.949 6.949 Å, 93.60 117.94 117.94°
Sites, in units of the cell vectors:
Ba  0.500  0.750  0.250
Ba  0.500  0.250  0.750
Hg  0.000  0.685  0.685
Hg  0.000  0.315  0.315
Ge  0.000  0.000  0.000
Au  0.000  0.739  0.261
Au  0.478  0.739  0.739
Au  0.000  0.261  0.739
Au  0.522  0.261  0.261

VASP calculation (GGA-PBE) on a relaxed BaHoGe2Au2 crystal.

Summary:
Space group = No. 164
Magnetization = 0.000 Bohr magnetons per cell
ΔH_f (0 K) = -0.74 eV/atom
Volume = 148.2 Å³/cell
VASP energy = -4.459 eV per atom
Crystal system = trigonal
N(E_F) = 2.75 states/eV/f.u.

Cell: 4.561 4.561 8.224 Å, 90.00 90.00 120.00°
Sites, in units of the cell vectors:
Ba  0.000  0.000  0.000
Ho  0.000  0.000  0.500
Ge  0.667  0.333  0.288
Ge  0.333  0.667  0.712
Au  0.667  0.333  0.688
Au  0.333  0.667  0.312

VASP calculation (GGA-PBE) on a relaxed Ba4GeAuI2 crystal.

Summary:
Space group = No. 10
Magnetization = 0.000 Bohr magnetons per cell
Volume = 350.9 Å³/cell
VASP energy = -3.375 eV per atom
Crystal system = monoclinic
N(E_F) = 3.91 states/eV/f.u.
Raw formation energy = -8.3 eV per formula unit

Cell: 4.897 8.303 9.055 Å, 107.63 90.00 90.00°
Sites, in units of the cell vectors:
Ba  0.500  0.247  0.213
Ba  0.500  0.753  0.787
Ba  0.000  0.270  0.793
Ba  0.000  0.730  0.207
Ge  0.500  0.500  0.000
Au  0.000  0.000  0.000
I  0.500  0.000  0.500
I  0.000  0.500  0.500

VASP calculation (GGA-PBE) on a relaxed Ba6GeAu2I3 crystal.

Summary:
Space group = No. 12
Magnetization = 0.002 Bohr magnetons per cell
Volume = 524.8 Å³/cell
VASP energy = -3.324 eV per atom
Crystal system = monoclinic
N(E_F) = 9.22 states/eV/f.u.
Raw formation energy = -12.5 eV per formula unit

Cell: 4.839 10.326 11.369 Å, 108.56 102.29 90.00°
Sites, in units of the cell vectors:
Ba  0.345  0.898  0.691
Ba  0.676  0.562  0.352
Ba  0.655  0.102  0.309
Ba  0.007  0.222  0.014
Ba  0.993  0.778  0.986
Ba  0.324  0.438  0.648
Ge  0.500  0.000  0.000
Au  0.831  0.664  0.663
Au  0.169  0.336  0.337
I  0.500  0.500  0.000
I  0.833  0.163  0.666
I  0.167  0.837  0.334

VASP calculation (GGA-PBE) on a relaxed Ba6Ge2AuI3 crystal.

Summary:
Space group = No. 12
Magnetization = 0.000 Bohr magnetons per cell
Volume = 527.9 Å³/cell
VASP energy = -3.417 eV per atom
Crystal system = monoclinic
N(E_F) = 6.47 states/eV/f.u.
Raw formation energy = -12.3 eV per formula unit

Cell: 4.901 10.216 11.383 Å, 108.00 102.43 90.00°
Sites, in units of the cell vectors:
Ba  0.338  0.894  0.676
Ba  0.678  0.557  0.355
Ba  0.662  0.106  0.324
Ba  0.012  0.238  0.024
Ba  0.988  0.762  0.976
Ba  0.322  0.443  0.645
Ge  0.838  0.680  0.677
Ge  0.162  0.320  0.323
Au  0.500  0.000  0.000
I  0.500  0.500  0.000
I  0.835  0.173  0.670
I  0.165  0.827  0.330

VASP calculation (GGA-PBE) on a relaxed Ba8GeAu3I4 crystal.

Summary:
Space group = No. 166
Magnetization = 0.001 Bohr magnetons per cell
Volume = 697.2 Å³/cell
VASP energy = -3.299 eV per atom
Crystal system = trigonal
N(E_F) = 11.71 states/eV/f.u.
Raw formation energy = -16.7 eV per formula unit

Cell: 9.577 10.375 9.576 Å, 117.49 120.00 90.00°
Sites, in units of the cell vectors:
Ba  0.235  0.710  0.975
Ba  0.235  0.710  0.470
Ba  0.263  0.289  0.526
Ba  0.740  0.710  0.975
Ba  0.260  0.290  0.025
Ba  0.737  0.711  0.474
Ba  0.765  0.290  0.530
Ba  0.765  0.290  0.025
Ge  0.000  0.500  0.000
Au  0.500  0.500  0.000
Au  0.500  0.500  0.500
Au  0.000  0.500  0.500
I  0.500  0.000  0.000
I  0.500  0.000  0.500
I  0.000  0.000  0.000
I  0.000  0.000  0.500

VASP calculation (GGA-PBE) on a relaxed BaGe2AuI crystal.

Summary:
Space group = No. 123
Magnetization = 0.000 Bohr magnetons per cell
Volume = 172.8 Å³/cell
VASP energy = -3.465 eV per atom
Crystal system = tetragonal
N(E_F) = 1.89 states/eV/f.u.
Raw formation energy = -1.3 eV per formula unit

Cell: 4.977 6.978 4.977 Å, 90.00 90.00 90.00°
Sites, in units of the cell vectors:
I  0.500  0.500  0.500
Ge  0.000  0.000  0.500
Ge  0.500  0.000  0.000
Au  0.000  0.000  0.000
Ba  0.000  0.500  0.000